No. 1
Below is crystalline Tl3Pb2 at its relaxed geometry, with properties calculated at the PBE-GGA level.

Output
Magnetic moment, Bohr magnetons per cell: 0.0
Polymorph energy (0 for the lowest one), meV per atom: 106.0
Calculated total energy, eV per atom: -2.803
Theoretical density, g cm⁻³: 10.22
Calculated formation energy, eV/atom: 0.101

a = 6.6190 Å, b = 6.6190 Å, c = 13.2038 Å
α = 90.00°, β = 90.00°, γ = 120.00°
Space group R-3m (No. 166, hexagonal axes)
Asymmetric unit:
Tl  0.0000  0.5000  0.0000 [9 per cell]
Pb  0.0000  0.0000  0.1210 [6 per cell]

***

No. 2
Below is crystalline Cs3TiC at its relaxed geometry, with properties calculated at the PBE-GGA level.

Output
Magnetic moment, Bohr magnetons per cell: 7.1
Calculated total energy, eV per atom: -1.985
Theoretical density, g cm⁻³: 2.12
Calculated formation energy, eV/atom: 1.951

a = 7.1076 Å, b = 7.1076 Å, c = 7.1076 Å
α = 90.00°, β = 90.00°, γ = 90.00°
Space group Pm-3m (No. 221)
Asymmetric unit:
Cs  0.0000  0.0000  0.5000 [3 per cell]
Ti  0.0000  0.0000  0.0000 [1 per cell]
C  0.5000  0.5000  0.5000 [1 per cell]

***

No. 3
Below is crystalline AcTbDy2S4 at its relaxed geometry, with properties calculated at the PBE-GGA level.

Output
E_form (uncorrected), eV per atom: -1.96
Magnetic moment, Bohr magnetons per cell: 0.0
Calculated total energy, eV per atom: -6.269
Theoretical density, g cm⁻³: 7.60

a = 6.9651 Å, b = 3.9617 Å, c = 7.0224 Å
α = 90.00°, β = 108.82°, γ = 90.00°
Space group P2/m (No. 10)
Asymmetric unit:
Ac  0.0000  0.0000  0.0000 [1 per cell]
Tb  0.5000  0.5000  0.0000 [1 per cell]
Dy  0.0000  0.5000  0.5000 [1 per cell]
Dy  0.5000  0.0000  0.5000 [1 per cell]
S  0.2577  0.0000  0.7386 [2 per cell]
S  0.2690  0.5000  0.2709 [2 per cell]

***

No. 4
Below is crystalline CaTb4Pr at its relaxed geometry, with properties calculated at the PBE-GGA level.

Output
Magnetic moment, Bohr magnetons per cell: 0.0
Polymorph energy (0 for the lowest one), meV per atom: 142.8
Calculated total energy, eV per atom: -4.010
Theoretical density, g cm⁻³: 6.33
Calculated formation energy, eV/atom: 0.207

a = 9.4966 Å, b = 9.4966 Å, c = 9.4966 Å
α = 90.00°, β = 90.00°, γ = 90.00°
Space group F-43m (No. 216)
Asymmetric unit:
Ca  0.0000  0.0000  0.0000 [4 per cell]
Tb  0.1238  0.1238  0.3762 [16 per cell]
Pr  0.2500  0.2500  0.7500 [4 per cell]

***

No. 5
Below is crystalline Pm6NdTm12 at its relaxed geometry, with properties calculated at the PBE-GGA level.

Output
Magnetic moment, Bohr magnetons per cell: 0.0
Polymorph energy (0 for the lowest one), meV per atom: 101.1
Calculated total energy, eV per atom: -4.357
Theoretical density, g cm⁻³: 8.07
Calculated formation energy, eV/atom: 0.218

a = 13.1581 Å, b = 13.1581 Å, c = 12.5288 Å
α = 90.00°, β = 90.00°, γ = 120.00°
Space group R-3m (No. 166, hexagonal axes)
Asymmetric unit:
Pm  0.0354  0.5177  0.1182 [18 per cell]
Nd  0.0000  0.0000  0.5000 [3 per cell]
Tm  0.0000  0.2561  0.0000 [18 per cell]
Tm  0.0914  0.1828  0.7634 [18 per cell]

***

No. 6
Below is crystalline TiCoP2S at its relaxed geometry, with properties calculated at the PBE-GGA level.

Output
E_form (uncorrected), eV per atom: 0.27
Magnetic moment, Bohr magnetons per cell: 1.5
Polymorph energy (0 for the lowest one), meV per atom: 0.0
Calculated total energy, eV per atom: -5.717
Theoretical density, g cm⁻³: 3.96

a = 4.2010 Å, b = 4.2010 Å, c = 4.7660 Å
α = 90.00°, β = 90.00°, γ = 90.00°
Space group P4/mmm (No. 123)
Asymmetric unit:
Ti  0.0000  0.0000  0.0000 [1 per cell]
Co  0.5000  0.5000  0.5000 [1 per cell]
P  0.0000  0.5000  0.5000 [2 per cell]
S  0.5000  0.5000  0.0000 [1 per cell]

***

No. 7
Below is crystalline VSnAs2 at its relaxed geometry, with properties calculated at the PBE-GGA level.

Output
Magnetic moment, Bohr magnetons per cell: 6.2
Calculated total energy, eV per atom: -5.539
Theoretical density, g cm⁻³: 4.93
Calculated formation energy, eV/atom: 0.066

a = 5.9546 Å, b = 5.9546 Å, c = 12.1411 Å
α = 90.00°, β = 90.00°, γ = 90.00°
Space group I-42d (No. 122)
Asymmetric unit:
V  0.0000  0.0000  0.0000 [4 per cell]
Sn  0.0000  0.0000  0.5000 [4 per cell]
As  0.1997  0.2500  0.1250 [8 per cell]

***

No. 8
Below is crystalline GdErHgRh at its relaxed geometry, with properties calculated at the PBE-GGA level.

Output
Magnetic moment, Bohr magnetons per cell: 28.4
Calculated total energy, eV per atom: -7.180
Theoretical density, g cm⁻³: 11.41
Calculated formation energy, eV/atom: -0.605

a = 7.1508 Å, b = 7.1508 Å, c = 7.1508 Å
α = 90.00°, β = 90.00°, γ = 90.00°
Space group F-43m (No. 216)
Asymmetric unit:
Gd  0.0000  0.0000  0.0000 [4 per cell]
Er  0.0000  0.0000  0.5000 [4 per cell]
Hg  0.2500  0.2500  0.7500 [4 per cell]
Rh  0.2500  0.2500  0.2500 [4 per cell]